P:
DFT (PBE) results for crystalline Nd2SmTm8 at its relaxed geometry.

Cell and atoms, written as POSCAR:
```
Nd2SmTm8
1.0
0.151 4.926 -4.342
-4.747 -2.973 -3.538
-4.705 2.109 7.197
Nd Sm Tm
2 1 8
direct
0.755 0.691 0.510
0.245 0.309 0.490
0.000 0.000 0.000
0.825 0.403 0.174
0.651 0.597 0.826
0.798 0.199 0.596
0.202 0.801 0.404
0.349 0.403 0.174
0.175 0.597 0.826
0.588 0.904 0.176
0.412 0.096 0.824
```

Calculated values
Fermi-level density of states in states/eV per cell: 16.59


Q:
DFT (PBE) results for crystalline Nd2SmTm8 at its relaxed geometry.

Cell and atoms, written as POSCAR:
```
Nd2SmTm8
1.0
-3.055 -2.047 -3.394
0.406 -6.914 3.805
-5.471 5.346 5.388
Nd Sm Tm
2 1 8
direct
0.773 0.363 0.545
0.227 0.637 0.455
0.500 0.000 0.000
0.410 0.546 0.821
0.681 0.908 0.362
0.864 0.821 0.729
0.956 0.273 0.911
0.136 0.179 0.271
0.319 0.092 0.638
0.590 0.454 0.179
0.044 0.727 0.089
```

Calculated values
Fermi-level density of states in states/eV per cell: 15.18


Least stable structure: P


P:
DFT (PBE) results for crystalline Nd7Sm2Tm3 at its relaxed geometry.

Cell and atoms, written as POSCAR:
```
Nd7Sm2Tm3
1.0
-0.389 -3.538 0.756
1.151 -1.327 -5.620
18.300 -0.873 5.334
Nd Sm Tm
7 2 3
direct
0.500 0.741 0.465
0.500 0.259 0.535
0.000 0.670 0.144
0.000 0.000 0.000
0.000 0.330 0.856
0.500 0.827 0.818
0.500 0.173 0.182
0.500 0.703 0.298
0.500 0.297 0.702
0.500 0.500 0.000
0.000 0.216 0.369
0.000 0.784 0.631
```

Calculated values
Fermi-level density of states in states/eV per cell: 16.58


Q:
DFT (PBE) results for crystalline Nd7Sm2Tm3 at its relaxed geometry.

Cell and atoms, written as POSCAR:
```
Nd7Sm2Tm3
1.0
-1.216 3.325 0.467
-4.173 -2.153 4.464
8.984 1.075 15.732
Nd Sm Tm
7 2 3
direct
0.500 0.237 0.505
0.500 0.763 0.495
0.000 0.557 0.165
0.000 0.000 0.000
0.000 0.443 0.835
0.500 0.944 0.828
0.500 0.056 0.172
0.500 0.612 0.329
0.500 0.388 0.671
0.500 0.500 0.000
0.000 0.115 0.341
0.000 0.885 0.659
```

Calculated values
Fermi-level density of states in states/eV per cell: 17.50


Least stable structure: P


P:
DFT (PBE) results for crystalline Nd2Sm5Tm12 at its relaxed geometry.

Cell and atoms, written as POSCAR:
```
Nd2Sm5Tm12
1.0
9.246 0.000 0.000
-4.623 7.684 1.113
0.000 -1.537 8.425
Nd Sm Tm
2 5 12
direct
0.678 0.000 0.000
0.322 0.000 0.000
0.231 0.461 0.573
0.295 0.591 0.985
0.000 0.000 0.500
0.705 0.409 0.015
0.769 0.539 0.427
0.920 0.840 0.123
0.028 0.699 0.757
0.671 0.699 0.757
0.182 0.742 0.340
0.560 0.742 0.340
0.443 0.887 0.667
0.557 0.113 0.333
0.818 0.258 0.660
0.440 0.258 0.660
0.972 0.301 0.243
0.329 0.301 0.243
0.080 0.160 0.877
```

Calculated values
Fermi-level density of states in states/eV per cell: 24.90


Q:
DFT (PBE) results for crystalline Nd2Sm5Tm12 at its relaxed geometry.

Cell and atoms, written as POSCAR:
```
Nd2Sm5Tm12
1.0
5.944 1.576 -1.002
-1.481 7.310 -9.500
-0.010 -3.063 17.066
Nd Sm Tm
2 5 12
direct
0.739 0.068 0.000
0.261 0.932 0.000
0.358 0.669 0.659
0.219 0.686 0.175
0.000 0.000 0.500
0.781 0.314 0.825
0.642 0.331 0.341
0.164 0.114 0.292
0.276 0.539 0.901
0.774 0.741 0.958
0.091 0.534 0.374
0.543 0.748 0.424
0.312 0.091 0.760
0.688 0.909 0.240
0.909 0.466 0.626
0.457 0.252 0.576
0.724 0.461 0.099
0.226 0.259 0.042
0.836 0.886 0.708
```

Calculated values
Fermi-level density of states in states/eV per cell: 25.80


Least stable structure: P


P:
DFT (PBE) results for crystalline NdSm12Tm7 at its relaxed geometry.

Cell and atoms, written as POSCAR:
```
NdSm12Tm7
1.0
9.362 0.000 -3.310
-4.681 8.107 -3.310
0.000 0.000 9.929
Nd Sm Tm
1 12 7
direct
0.000 0.000 0.000
0.487 0.742 0.744
0.998 0.742 0.256
0.513 0.258 0.256
0.002 0.258 0.744
0.744 0.002 0.258
0.744 0.487 0.742
0.256 0.998 0.742
0.256 0.513 0.258
0.742 0.744 0.487
0.258 0.256 0.513
0.742 0.256 0.998
0.258 0.744 0.002
0.500 0.500 0.000
0.000 0.500 0.500
0.500 0.000 0.500
0.500 0.500 0.500
0.000 0.000 0.500
0.500 0.000 0.000
0.000 0.500 0.000
```

Calculated values
Fermi-level density of states in states/eV per cell: 26.71


Q:
DFT (PBE) results for crystalline NdSm12Tm7 at its relaxed geometry.

Cell and atoms, written as POSCAR:
```
NdSm12Tm7
1.0
-2.389 2.381 -8.120
-3.992 -7.831 0.226
-6.021 4.595 4.466
Nd Sm Tm
1 12 7
direct
0.000 0.000 0.000
0.763 0.237 0.500
0.763 0.500 0.237
0.359 0.091 0.359
0.909 0.641 0.641
0.500 0.237 0.763
0.641 0.641 0.909
0.359 0.359 0.091
0.500 0.763 0.237
0.091 0.359 0.359
0.641 0.909 0.641
0.237 0.500 0.763
0.237 0.763 0.500
0.100 0.660 0.100
0.340 0.900 0.900
0.900 0.900 0.340
0.500 0.500 0.500
0.100 0.100 0.660
0.660 0.100 0.100
0.900 0.340 0.900
```

Calculated values
Fermi-level density of states in states/eV per cell: 35.23


Least stable structure: P